# 1
Ac2Al4Ga3Pd: optimized geometry, PBE-GGA.

Cell: 4.4720 4.4720 10.7624 Å, 90.00 90.00 90.00°
Last column: nearest neighbours and their distance in Å.
Fractional positions:
1 Ga 0.5000 0.0000 0.8630  5 Al 2.62-2.68
2 Ga 0.0000 0.5000 0.1370  5 Al 2.62-2.68
3 Ga 0.0000 0.0000 0.5000  4 Al 2.58
4 Al 0.5000 0.5000 0.0000  4 Ga 2.68
5 Al 0.0000 0.5000 0.3807  2 Pd 2.58, 3 Ga 2.58-2.62
6 Al 0.5000 0.0000 0.6193  3 Ga 2.58-2.62, 2 Pd 2.58
7 Al 0.0000 0.0000 0.0000  4 Ga 2.68
8 Ac 0.5000 0.0000 0.2542  6 Ga 3.40-3.46, 8 Al 3.44-3.53, 2 Pd 3.46
9 Ac 0.0000 0.5000 0.7458  6 Ga 3.40-3.46, 8 Al 3.44-3.53, 2 Pd 3.46
10 Pd 0.5000 0.5000 0.5000  4 Al 2.58

Calculated values
Formation energy: -0.56 eV/atom

---

# 2
Pu12Ge6Pt: optimized geometry, PBE-GGA.

Cell: 7.4673 7.4673 7.4673 Å, 85.21 85.21 85.21°
Last column: nearest neighbours and their distance in Å.
Fractional positions:
1 Pu 0.1500 0.6329 0.9441  1 Pu 2.46
2 Pu 0.0559 0.8500 0.3671  1 Pu 2.46
3 Pu 0.4862 0.6652 0.2448  3 Pu 2.34-2.46
4 Pu 0.6652 0.2448 0.4862  3 Pu 2.34-2.46
5 Pu 0.3671 0.0559 0.8500  1 Pu 2.46
6 Pu 0.7552 0.5138 0.3348  3 Pu 2.34-2.46
7 Pu 0.3348 0.7552 0.5138  3 Pu 2.34-2.46
8 Pu 0.9441 0.1500 0.6329  1 Pu 2.46
9 Pu 0.8500 0.3671 0.0559  1 Pu 2.46
10 Pu 0.2448 0.4862 0.6652  3 Pu 2.34-2.46
11 Pu 0.5138 0.3348 0.7552  3 Pu 2.34-2.46
12 Pu 0.6329 0.9441 0.1500  1 Pu 2.46
13 Ge 0.1370 0.4411 0.3130  2 Ge 2.67, 2 Pu 2.85-2.87
14 Ge 0.8630 0.5589 0.6870  2 Ge 2.67, 2 Pu 2.85-2.87
15 Ge 0.4411 0.3130 0.1370  2 Ge 2.67, 2 Pu 2.85-2.87
16 Ge 0.6870 0.8630 0.5589  2 Ge 2.67, 2 Pu 2.85-2.87
17 Ge 0.5589 0.6870 0.8630  2 Ge 2.67, 2 Pu 2.85-2.87
18 Ge 0.3130 0.1370 0.4411  2 Ge 2.67, 2 Pu 2.85-2.87
19 Pt 0.0000 0.0000 0.0000  6 Pu 2.92

Calculated values
Formation energy: -0.11 eV/atom

---

# 3
Ca2BTe: optimized geometry, PBE-GGA.

Cell: 5.1625 5.1625 5.1625 Å, 60.00 60.00 60.00°
Last column: nearest neighbours and their distance in Å.
Fractional positions:
1 Te 0.5000 0.5000 0.5000  8 Ca 3.16
2 Ca 0.7500 0.7500 0.7500  4 B 3.16, 4 Te 3.16
3 Ca 0.2500 0.2500 0.2500  4 Te 3.16, 4 B 3.16
4 B 0.0000 0.0000 0.0000  8 Ca 3.16

Calculated values
Formation energy (no corrections): 0.01 eV/atom
Energy above the most stable polymorph in this dataset: 0.056 eV per atom

---

# 4
Cr2AsRu: optimized geometry, PBE-GGA.

Cell: 2.7796 3.8938 4.8403 Å, 90.00 90.00 90.00°
Last column: nearest neighbours and their distance in Å.
Fractional positions:
1 As 0.5000 0.5000 0.7500  2 Ru 2.42, 8 Cr 2.64
2 Ru 0.5000 0.5000 0.2500  2 As 2.42
3 Cr 0.0000 0.0000 0.9793  1 Cr 2.22
4 Cr 0.0000 0.0000 0.5207  1 Cr 2.22

Calculated values
Formation energy: 0.09 eV/atom

---

Number 1: calculated density 6.77 Mg/m³, size of the total moment 0.00 μB/cell. Number 2: calculated density 14.34 Mg/m³, size of the total moment 23.11 μB/cell. Number 3: calculated density 3.73 Mg/m³, size of the total moment 0.00 μB/cell. Number 4: calculated density 8.87 Mg/m³, size of the total moment 0.00 μB/cell.